(1)
## LiInTc3 (GGA-PBE)

Data for a relaxed LiInTc3 crystal.

Cell and atoms, written as CIF:
```
data_LiInTc3
_cell_length_a 4.232
_cell_length_b 4.232
_cell_length_c 4.232
_cell_angle_alpha 90.00
_cell_angle_beta 90.00
_cell_angle_gamma 90.00
_space_group_name_H-M_alt 'P 1'
_space_group_IT_number 1
loop_
_space_group_symop_operation_xyz
'x,y,z'
loop_
_atom_site_label
_atom_site_fract_x
_atom_site_fract_y
_atom_site_fract_z
Li1 0.000 0.000 0.000
In1 0.500 0.500 0.500
Tc1 0.000 0.000 0.500
Tc2 0.000 0.500 0.000
Tc3 0.500 0.000 0.000
```

Properties
Formation energy = 1098 meV/atom
Calculated total energy = -6.05 eV/atom
Volume = 75.8 Å³/cell
Fermi-level density of states = 0.9501 states/eV per atom
Symmetry = Pm-3m (221)
Energy above the lowest structure with this stoichiometry = 0.0 meV/atom

(2)
## BaTe2Au (GGA-PBE)

Data for a relaxed BaTe2Au crystal.

Cell and atoms, written as CIF:
```
data_BaTe2Au
_cell_length_a 5.612
_cell_length_b 5.612
_cell_length_c 5.612
_cell_angle_alpha 60.00
_cell_angle_beta 60.00
_cell_angle_gamma 60.00
_space_group_name_H-M_alt 'P 1'
_space_group_IT_number 1
loop_
_space_group_symop_operation_xyz
'x,y,z'
loop_
_atom_site_label
_atom_site_fract_x
_atom_site_fract_y
_atom_site_fract_z
Ba1 0.000 0.000 0.000
Te1 0.250 0.250 0.250
Te2 0.500 0.500 0.500
Au1 0.750 0.750 0.750
```

Properties
Raw formation energy = -0.453 eV per atom
Calculated total energy = -3.32 eV/atom
Volume = 125.0 Å³/cell
Fermi-level density of states = 0.8675 states/eV per atom
Symmetry = F-43m (216)
Energy above the lowest structure with this stoichiometry = 396.1 meV/atom

(3)
## TbPr2Bi (GGA-PBE)

Data for a relaxed TbPr2Bi crystal.

Cell and atoms, written as CIF:
```
data_TbPr2Bi
_cell_length_a 10.027
_cell_length_b 10.027
_cell_length_c 10.027
_cell_angle_alpha 24.07
_cell_angle_beta 24.07
_cell_angle_gamma 24.07
_space_group_name_H-M_alt 'P 1'
_space_group_IT_number 1
loop_
_space_group_symop_operation_xyz
'x,y,z'
loop_
_atom_site_label
_atom_site_fract_x
_atom_site_fract_y
_atom_site_fract_z
Tb1 0.000 0.000 0.000
Pr1 0.572 0.572 0.572
Pr2 0.762 0.762 0.762
Bi1 0.167 0.167 0.167
```

Properties
Formation energy = -195 meV/atom
Calculated total energy = -4.71 eV/atom
Volume = 147.3 Å³/cell
Fermi-level density of states = 1.2383 states/eV per atom
Symmetry = R3m (160)
Energy above the lowest structure with this stoichiometry = 217.2 meV/atom

(4)
## Pm5Dy3Bi8 (GGA-PBE)

Data for a relaxed Pm5Dy3Bi8 crystal.

Cell and atoms, written as CIF:
```
data_Pm5Dy3Bi8
_cell_length_a 9.080
_cell_length_b 9.080
_cell_length_c 9.080
_cell_angle_alpha 60.02
_cell_angle_beta 60.02
_cell_angle_gamma 60.02
_space_group_name_H-M_alt 'P 1'
_space_group_IT_number 1
loop_
_space_group_symop_operation_xyz
'x,y,z'
loop_
_atom_site_label
_atom_site_fract_x
_atom_site_fract_y
_atom_site_fract_z
Pm1 0.000 0.000 0.000
Pm2 0.000 0.500 0.500
Pm3 0.500 0.000 0.500
Pm4 0.500 0.500 0.000
Pm5 0.500 0.500 0.500
Dy1 0.000 0.000 0.500
Dy2 0.000 0.500 0.000
Dy3 0.500 0.000 0.000
Bi1 0.245 0.750 0.750
Bi2 0.248 0.248 0.248
Bi3 0.250 0.250 0.755
Bi4 0.250 0.755 0.250
Bi5 0.750 0.245 0.750
Bi6 0.750 0.750 0.245
Bi7 0.752 0.752 0.752
Bi8 0.755 0.250 0.250
```

Properties
Formation energy = -907 meV/atom
Calculated total energy = -5.20 eV/atom
Volume = 529.6 Å³/cell
Fermi-level density of states = 0.1713 states/eV per atom
Symmetry = R-3m (166)